Record 1
The following is a DFT calculation (GGA-PBE) of a geometry-optimized Cs2Li2ThO4 structure.

Summary:
VASP energy: -5.91 eV/atom
ΔE_f (raw): -2.268 eV per atom
Calculated volume: 18.09 Å³/atom

Cell lengths 3.707, 7.182, 6.799 Å; angles 109.99, 105.82, 90.00 degrees
Element x y z (fractional)
Cs 0.147 0.590 0.294
Cs 0.853 0.410 0.706
Li 0.683 0.980 0.365
Li 0.317 0.020 0.635
Th 0.000 0.000 0.000
O 0.189 0.109 0.378
O 0.811 0.891 0.622
O 0.520 0.808 0.040
O 0.480 0.192 0.960



Record 2
The following is a DFT calculation (GGA-PBE) of a geometry-optimized CaLa6Pt4 structure.

Summary:
Energy of formation from the pure elements: -0.7624 eV per atom
VASP energy: -5.83 eV/atom
Calculated volume: 29.10 Å³/atom

Cell lengths 6.228, 6.230, 9.009 Å; angles 106.86, 106.63, 88.01 degrees
Element x y z (fractional)
Ca 0.008 0.009 0.010
La 0.088 0.548 0.642
La 0.547 0.090 0.644
La 0.932 0.933 0.371
La 0.929 0.495 0.992
La 0.463 0.463 0.336
La 0.494 0.922 0.992
Pt 0.937 0.391 0.292
Pt 0.616 0.616 0.705
Pt 0.390 0.937 0.292
Pt 0.096 0.097 0.725



Record 3
The following is a DFT calculation (GGA-PBE) of a geometry-optimized NaMgGa2Ag2 structure.

Summary:
Energy of formation from the pure elements: -0.1187 eV per atom
VASP energy: -2.56 eV/atom
Calculated volume: 20.40 Å³/atom

Cell lengths 4.591, 4.591, 6.705 Å; angles 90.00, 90.00, 120.00 degrees
Element x y z (fractional)
Na 0.000 0.000 0.000
Mg 0.000 0.000 0.500
Ga 0.333 0.667 0.729
Ga 0.667 0.333 0.271
Ag 0.333 0.667 0.298
Ag 0.667 0.333 0.702



Record 4
The following is a DFT calculation (GGA-PBE) of a geometry-optimized HfScC2 structure.

Summary:
Energy above the lowest structure with this stoichiometry: 2.50 eV/f.u.
Energy of formation from the pure elements: 0.4104 eV per atom
VASP energy: -8.27 eV/atom
Calculated volume: 12.02 Å³/atom

Cell lengths 4.081, 4.081, 4.081 Å; angles 60.00, 60.00, 60.00 degrees
Element x y z (fractional)
Sc 0.000 0.000 0.000
C 0.250 0.250 0.250
C 0.750 0.750 0.750
Hf 0.500 0.500 0.500



Record 5
The following is a DFT calculation (GGA-PBE) of a geometry-optimized ThMn4B4 structure.

Summary:
Energy of formation from the pure elements: -0.4463 eV per atom
VASP energy: -8.31 eV/atom
Calculated volume: 11.02 Å³/atom

Cell lengths 3.915, 7.119, 7.119 Å; angles 90.00, 90.00, 90.00 degrees
Site moments in Bohr magnetons follow the coordinates.
Element x y z (fractional)
Th 0.000 0.000 0.000  -0.01
Th 0.500 0.500 0.500  -0.01
Mn 0.386 0.373 0.883  0.98
Mn 0.886 0.617 0.873  0.98
Mn 0.386 0.627 0.117  0.98
Mn 0.114 0.127 0.617  0.98
Mn 0.614 0.883 0.627  0.98
Mn 0.114 0.873 0.383  0.98
Mn 0.886 0.383 0.127  0.98
Mn 0.614 0.117 0.373  0.98
B 0.611 0.833 0.301  -0.06
B 0.611 0.167 0.699  -0.06
B 0.111 0.801 0.667  -0.06
B 0.889 0.333 0.801  -0.06
B 0.889 0.667 0.199  -0.06
B 0.389 0.301 0.167  -0.06
B 0.389 0.699 0.833  -0.06
B 0.111 0.199 0.333  -0.06



Record 6
The following is a DFT calculation (GGA-PBE) of a geometry-optimized YGa2P2Pt7 structure.

Summary:
Energy of formation from the pure elements: -0.6384 eV per atom
VASP energy: -6.11 eV/atom
Calculated volume: 18.35 Å³/atom

Cell lengths 3.926, 3.926, 14.369 Å; angles 85.66, 85.66, 90.26 degrees
Element x y z (fractional)
Y 0.000 0.000 0.000
Ga 0.868 0.868 0.424
Ga 0.132 0.132 0.576
P 0.571 0.571 0.750
P 0.429 0.429 0.250
Pt 0.500 0.500 0.000
Pt 0.405 0.405 0.410
Pt 0.595 0.595 0.590
Pt 0.955 0.455 0.157
Pt 0.455 0.955 0.157
Pt 0.545 0.045 0.843
Pt 0.045 0.545 0.843



Record 7
The following is a DFT calculation (GGA-PBE) of a geometry-optimized Tb2Pr4Sm2Er structure.

Summary:
Energy of formation from the pure elements: 0.0202 eV per atom
VASP energy: -4.69 eV/atom
Calculated volume: 34.06 Å³/atom

Cell lengths 5.156, 8.152, 8.112 Å; angles 107.63, 90.00, 108.44 degrees
Element x y z (fractional)
Tb 0.333 0.667 0.000
Tb 0.667 0.333 0.000
Pr 0.778 0.556 0.670
Pr 0.222 0.444 0.330
Pr 0.554 0.109 0.330
Pr 0.446 0.891 0.670
Sm 0.888 0.777 0.329
Sm 0.112 0.223 0.671
Er 0.000 0.000 0.000



Record 8
The following is a DFT calculation (GGA-PBE) of a geometry-optimized SrSiNiSb2 structure.

Summary:
VASP energy: -3.56 eV/atom
ΔE_f (raw): 0.664 eV per atom
Calculated volume: 30.19 Å³/atom

Cell lengths 5.160, 5.671, 5.160 Å; angles 90.00, 90.00, 90.00 degrees
Element x y z (fractional)
Sb 0.000 0.000 0.500
Sb 0.500 0.000 0.000
Si 0.000 0.000 0.000
Ni 0.500 0.500 0.500
Sr 0.000 0.500 0.000



Record 9
The following is a DFT calculation (GGA-PBE) of a geometry-optimized Ho4ScTl5 structure.

Summary:
Energy of formation from the pure elements: -0.3126 eV per atom
VASP energy: -3.96 eV/atom
Calculated volume: 26.30 Å³/atom

Cell lengths 3.681, 3.681, 19.417 Å; angles 90.00, 90.00, 90.00 degrees
Element x y z (fractional)
Ho 0.000 0.000 0.192
Ho 0.000 0.000 0.397
Ho 0.000 0.000 0.603
Ho 0.000 0.000 0.808
Sc 0.000 0.000 0.000
Tl 0.500 0.500 0.090
Tl 0.500 0.500 0.294
Tl 0.500 0.500 0.500
Tl 0.500 0.500 0.706
Tl 0.500 0.500 0.910



Record 10
The following is a DFT calculation (GGA-PBE) of a geometry-optimized Sm2Y5Er structure.

Summary:
Energy of formation from the pure elements: 0.1324 eV per atom
VASP energy: -5.66 eV/atom
Calculated volume: 33.14 Å³/atom

Cell lengths 5.576, 6.607, 15.877 Å; angles 90.00, 90.00, 114.96 degrees
Element x y z (fractional)
Sm 0.781 0.563 0.370
Sm 0.781 0.563 0.130
Sm 0.219 0.437 0.630
Sm 0.219 0.437 0.870
Y 0.920 0.840 0.907
Y 0.920 0.840 0.593
Y 0.382 0.764 0.451
Y 0.382 0.764 0.049
Y 0.543 0.085 0.250
Y 0.457 0.915 0.750
Y 0.618 0.236 0.549
Y 0.618 0.236 0.951
Y 0.080 0.160 0.093
Y 0.080 0.160 0.407
Er 0.732 0.464 0.750
Er 0.268 0.536 0.250



Record 11
The following is a DFT calculation (GGA-PBE) of a geometry-optimized ZrMnTlTe3 structure.

Summary:
VASP energy: -5.43 eV/atom
ΔE_f (raw): -0.511 eV per atom
Calculated volume: 30.79 Å³/atom

Cell lengths 4.132, 9.422, 10.237 Å; angles 112.01, 90.00, 90.00 degrees
Site moments in Bohr magnetons follow the coordinates.
Element x y z (fractional)
Zr 0.250 0.669 0.146  -0.15
Zr 0.750 0.331 0.854  -0.15
Mn 0.250 0.083 0.610  3.70
Mn 0.750 0.917 0.390  3.70
Tl 0.250 0.200 0.254  0.01
Tl 0.750 0.800 0.746  0.01
Te 0.750 0.884 0.121  0.02
Te 0.250 0.116 0.879  0.02
Te 0.250 0.772 0.458  0.03
Te 0.750 0.228 0.542  0.03
Te 0.750 0.452 0.161  0.02
Te 0.250 0.548 0.839  0.02



Record 12
The following is a DFT calculation (GGA-PBE) of a geometry-optimized GdIn2Hg structure.

Summary:
Energy above the lowest structure with this stoichiometry: 0.85 eV/f.u.
Energy of formation from the pure elements: -0.1839 eV per atom
VASP energy: -5.15 eV/atom
Calculated volume: 25.81 Å³/atom

Cell lengths 5.266, 5.266, 5.265 Å; angles 59.99, 59.99, 60.00 degrees
Site moments in Bohr magnetons follow the coordinates.
Element x y z (fractional)
Gd 0.000 0.000 0.000  6.93
Hg 0.500 0.500 0.500  -0.02
In 0.750 0.750 0.750  -0.03
In 0.250 0.250 0.250  -0.03



Record 13
The following is a DFT calculation (GGA-PBE) of a geometry-optimized LiSc structure.

Summary:
Energy above the lowest structure with this stoichiometry: 0.23 eV/f.u.
Energy of formation from the pure elements: 0.2076 eV per atom
VASP energy: -3.92 eV/atom
Calculated volume: 20.98 Å³/atom

Cell lengths 3.475, 3.475, 3.475 Å; angles 90.00, 90.00, 90.00 degrees
Element x y z (fractional)
Sc 0.000 0.000 0.000
Li 0.500 0.500 0.500



Record 14
The following is a DFT calculation (GGA-PBE) of a geometry-optimized PuTlGa2 structure.

Summary:
Energy above the lowest structure with this stoichiometry: 0.00 eV/f.u.
Energy of formation from the pure elements: -0.1876 eV per atom
VASP energy: -5.88 eV/atom
Calculated volume: 22.36 Å³/atom

Cell lengths 4.289, 4.567, 4.567 Å; angles 90.00, 90.00, 90.00 degrees
Site moments in Bohr magnetons follow the coordinates.
Element x y z (fractional)
Tl 0.500 0.000 0.000  0.01
Ga 0.000 0.000 0.500  0.01
Ga 0.000 0.500 0.000  0.01
Pu 0.500 0.500 0.500  5.24



Record 15
The following is a DFT calculation (GGA-PBE) of a geometry-optimized AcPtIO6 structure.

Summary:
VASP energy: -5.83 eV/atom
ΔE_f (raw): -1.222 eV per atom
Calculated volume: 15.68 Å³/atom

Cell lengths 5.397, 5.494, 5.494 Å; angles 120.00, 90.00, 90.00 degrees
Element x y z (fractional)
Ac 0.000 0.333 0.667
Pt 0.500 0.667 0.333
I 0.500 0.000 0.000
O 0.712 0.693 0.655
O 0.712 0.345 0.038
O 0.712 0.962 0.307
O 0.288 0.345 0.307
O 0.288 0.693 0.038
O 0.288 0.962 0.655



Record 16
The following is a DFT calculation (GGA-PBE) of a geometry-optimized Dy3Tl2Cd4 structure.

Summary:
Energy above the lowest structure with this stoichiometry: 0.00 eV/f.u.
Energy of formation from the pure elements: -0.3178 eV per atom
VASP energy: -2.78 eV/atom
Calculated volume: 25.23 Å³/atom

Cell lengths 4.549, 7.593, 7.593 Å; angles 120.00, 90.00, 90.00 degrees
Element x y z (fractional)
Dy 0.500 0.000 0.427
Dy 0.500 0.427 0.000
Dy 0.500 0.573 0.573
Tl 0.000 0.667 0.333
Tl 0.000 0.333 0.667
Cd 0.500 0.000 0.000
Cd 0.000 0.241 0.241
Cd 0.000 0.759 0.000
Cd 0.000 0.000 0.759



Record 17
The following is a DFT calculation (GGA-PBE) of a geometry-optimized NpIr2Rh structure.

Summary:
Energy of formation from the pure elements: -0.0405 eV per atom
VASP energy: -9.54 eV/atom
Calculated volume: 17.16 Å³/atom

Cell lengths 4.544, 4.544, 4.650 Å; angles 60.75, 60.75, 60.00 degrees
Site moments in Bohr magnetons follow the coordinates.
Element x y z (fractional)
Np 0.500 0.500 0.500  2.87
Ir 0.766 0.766 0.702  -0.36
Ir 0.234 0.234 0.298  -0.36
Rh 0.000 0.000 0.000  -0.24



Record 18
The following is a DFT calculation (GGA-PBE) of a geometry-optimized SiOsSe structure.

Summary:
Energy above the lowest structure with this stoichiometry: 0.27 eV/f.u.
VASP energy: -6.46 eV/atom
ΔE_f (raw): 0.255 eV per atom
Calculated volume: 21.17 Å³/atom

Cell lengths 6.382, 6.382, 6.382 Å; angles 154.85, 144.80, 43.75 degrees
Element x y z (fractional)
Os 0.111 0.111 0.000
Se 0.312 0.312 0.000
Si 0.577 0.577 0.000



Record 19
The following is a DFT calculation (GGA-PBE) of a geometry-optimized CaTaSe2N structure.

Summary:
Energy above the lowest structure with this stoichiometry: 0.00 eV/f.u.
VASP energy: -6.70 eV/atom
ΔE_f (raw): -0.874 eV per atom
Calculated volume: 21.40 Å³/atom

Cell lengths 5.205, 5.205, 3.949 Å; angles 90.00, 90.00, 90.00 degrees
Element x y z (fractional)
Ca 0.500 0.500 0.500
N 0.000 0.000 0.500
Se 0.000 0.500 0.000
Se 0.500 0.000 0.000
Ta 0.000 0.000 0.000



Record 20
The following is a DFT calculation (GGA-PBE) of a geometry-optimized La2GaSn4 structure.

Summary:
Energy above the lowest structure with this stoichiometry: 0.00 eV/f.u.
Energy of formation from the pure elements: -0.5399 eV per atom
VASP energy: -4.67 eV/atom
Calculated volume: 29.31 Å³/atom

Cell lengths 6.409, 6.409, 6.752 Å; angles 118.43, 118.43, 89.92 degrees
Element x y z (fractional)
Sn 0.786 0.786 0.072
Sn 0.286 0.286 0.071
Sn 0.786 0.286 0.071
Sn 0.286 0.786 0.071
Ga 0.786 0.786 0.572
La 0.286 0.786 0.571
La 0.786 0.286 0.571